[1]
{"formula": "LaTlCo2Ge", "functional": "PBE", "state": "relaxed", "formation_energy_ev_per_atom": 1.06, "space_group": "P4/mmm, No. 123", "volume_a3_per_atom": 27.7, "cell": [[-1.802, 4.385, -0.887], [-0.788, -1.481, -5.722], [-4.428, -1.612, 1.027]], "species": ["La", "Tl", "Ge", "Co", "Co"], "frac_coords": [[0.000, 0.500, 0.000], [0.000, 0.000, 0.000], [0.500, 0.500, 0.500], [0.000, 0.000, 0.500], [0.500, 0.000, 0.000]]}

[2]
{"formula": "La2ZnCoGe", "functional": "PBE", "state": "relaxed", "formation_energy_ev_per_atom": -0.33, "polymorph_energy_ev_per_fu": 0.00, "space_group": "P4/mmm, No. 123", "volume_a3_per_atom": 25.4, "cell": [[-1.027, -5.193, -0.598], [2.977, -0.080, -4.417], [3.614, -0.997, 2.454]], "species": ["Co", "La", "La", "Ge", "Zn"], "frac_coords": [[0.000, 0.000, 0.000], [0.500, 0.000, 0.000], [0.000, 0.500, 0.000], [0.000, 0.000, 0.500], [0.500, 0.500, 0.500]]}

[3]
{"formula": "La2Zn2CoGe4", "functional": "PBE", "state": "relaxed", "formation_energy_ev_per_atom": -0.48, "space_group": "I4/mmm, No. 139", "volume_a3_per_atom": 19.5, "cell": [[6.289, -0.075, -0.108], [-3.084, 5.482, 0.108], [-3.084, -1.825, 5.170]], "species": ["Ge", "Ge", "La", "La", "Zn", "Co", "Ge", "Zn", "Ge"], "frac_coords": [[0.000, 0.275, 0.725], [0.550, 0.275, 0.275], [0.500, 0.750, 0.250], [0.500, 0.250, 0.750], [0.000, 0.715, 0.715], [0.000, 0.000, 0.000], [0.450, 0.725, 0.725], [0.000, 0.285, 0.285], [0.000, 0.725, 0.275]]}

[4]
{"formula": "La2ZnCoGe", "functional": "PBE", "state": "relaxed", "formation_energy_ev_per_atom": -0.31, "polymorph_energy_ev_per_fu": 0.11, "space_group": "P4/mmm, No. 123", "volume_a3_per_atom": 24.7, "cell": [[-4.013, 2.614, -1.953], [0.415, -2.661, -4.415], [-2.892, -3.202, 1.658]], "species": ["Ge", "La", "Zn", "La", "Co"], "frac_coords": [[0.500, 0.500, 0.500], [0.000, 0.500, 0.000], [0.000, 0.000, 0.500], [0.500, 0.000, 0.000], [0.000, 0.000, 0.000]]}